# SrIn7Hg5 (PBE-GGA, optimized geometry)
data_SrIn7Hg5
_space_group_name_H-M_alt 'P 1'
_space_group_IT_number 1
_cell_length_a 8.267
_cell_length_b 8.267
_cell_length_c 8.267
_cell_angle_alpha 136.83
_cell_angle_beta 95.63
_cell_angle_gamma 99.94
loop_
_space_group_symop_operation_xyz
'x,y,z'
loop_
_atom_site_label
_atom_site_type_symbol
_atom_site_fract_x
_atom_site_fract_y
_atom_site_fract_z
Sr1 Sr 0.000 0.000 0.000
In1 In 0.215 0.715 0.500
In2 In 0.222 0.507 0.715
In3 In 0.358 0.358 0.000
In4 In 0.368 0.009 0.358
In5 In 0.651 0.009 0.642
In6 In 0.651 0.651 0.000
In7 In 0.792 0.507 0.285
Hg1 Hg 0.006 0.007 0.498
Hg2 Hg 0.006 0.508 0.999
Hg3 Hg 0.509 0.007 0.001
Hg4 Hg 0.509 0.508 0.502
Hg5 Hg 0.814 0.314 0.500
# **Total magnetization**: 0.0 μB per cell
# **Energy relative to the elements**: -6.6 kJ per mole of atoms
# **DFT total energy**: -1.7887 eV per atom